Entry 1:
The following is a DFT calculation (PBE-GGA) of an optimized crystal structure of Gd4GeS3.

a b c (Å): 6.971 6.971 6.971
angles (deg): 131.95 131.95 70.32
Positions (direct):
1 Gd 0.000 0.500 0.500
2 Gd 0.249 0.249 0.000
3 Gd 0.500 0.000 0.500
4 Gd 0.751 0.751 0.000
5 Ge 0.000 0.000 0.000
6 S 0.250 0.750 0.500
7 S 0.500 0.500 0.000
8 S 0.750 0.250 0.500

Output
- Uncorrected energy: -6.250 eV/atom
- M_tot: 0.00 μB per cell

***

Entry 2:
The following is a DFT calculation (PBE-GGA) of an optimized crystal structure of GdGeSb.

a b c (Å): 5.034 5.034 5.034
angles (deg): 60.00 60.00 60.00
Positions (direct):
1 Gd 0.000 0.000 0.000
2 Ge 0.500 0.500 0.500
3 Sb 0.250 0.250 0.250

Output
- Uncorrected energy: -4.639 eV/atom
- M_tot: 0.00 μB per cell

***

Entry 3:
The following is a DFT calculation (PBE-GGA) of an optimized crystal structure of GdGeSb.

a b c (Å): 5.016 5.016 5.016
angles (deg): 60.00 60.00 60.00
Positions (direct):
1 Gd 0.000 0.000 0.000
2 Ge 0.750 0.750 0.750
3 Sb 0.250 0.250 0.250

Output
- Uncorrected energy: -4.667 eV/atom
- M_tot: 0.00 μB per cell

***

Entry 4:
The following is a DFT calculation (PBE-GGA) of an optimized crystal structure of Gd2Sc3Ge4.

a b c (Å): 7.269 14.129 7.511
angles (deg): 90.00 90.00 90.00
Positions (direct):
1 Gd 0.001 0.096 0.177
2 Gd 0.001 0.404 0.177
3 Gd 0.499 0.596 0.677
4 Gd 0.499 0.904 0.677
5 Gd 0.501 0.096 0.323
6 Gd 0.501 0.404 0.323
7 Gd 0.999 0.596 0.823
8 Gd 0.999 0.904 0.823
9 Sc 0.160 0.625 0.332
10 Sc 0.160 0.875 0.332
11 Sc 0.176 0.250 0.500
12 Sc 0.324 0.750 0.000
13 Sc 0.340 0.125 0.832
14 Sc 0.340 0.375 0.832
15 Sc 0.660 0.625 0.168
16 Sc 0.660 0.875 0.168
17 Sc 0.676 0.250 0.000
18 Sc 0.824 0.750 0.500
19 Sc 0.840 0.125 0.668
20 Sc 0.840 0.375 0.668
21 Ge 0.040 0.250 0.874
22 Ge 0.177 0.041 0.541
23 Ge 0.177 0.459 0.541
24 Ge 0.193 0.750 0.637
25 Ge 0.307 0.250 0.137
26 Ge 0.323 0.541 0.041
27 Ge 0.323 0.959 0.041
28 Ge 0.460 0.750 0.374
29 Ge 0.540 0.250 0.626
30 Ge 0.677 0.041 0.959
31 Ge 0.677 0.459 0.959
32 Ge 0.693 0.750 0.863
33 Ge 0.807 0.250 0.363
34 Ge 0.823 0.541 0.459
35 Ge 0.823 0.959 0.459
36 Ge 0.960 0.750 0.126

Output
- Uncorrected energy: -6.112 eV/atom
- M_tot: 0.00 μB per cell

***

> M_tot of number 3 (GdGeSb)?

0.00 μB per cell